(1)
Material: CaLa2Co
Method: DFT, GGA-PBEsol
State: optimized geometry

Output
Size of the total moment in μB per formula unit: 0.00
Polymorph energy (0 for the lowest one) in meV per atom: 66.4
ΔH_f (0 K) in eV/atom: 0.0323
Crystal system: orthorhombic

Cell and atoms, written as POSCAR:
```
CaLa2Co
1.0
2.223 -2.761 0.000
2.223 2.761 0.000
0.000 0.000 9.678
Ca La Co
1 2 1
direct
0.000 0.000 0.000 Ca
0.500 0.500 0.337 La
0.500 0.500 0.663 La
0.000 0.000 0.500 Co
```

***

(2)
Material: LiLaRh4
Method: DFT, GGA-PBEsol
State: optimized geometry

Output
Size of the total moment in μB per formula unit: 0.00
ΔH_f (0 K) in eV/atom: -0.3028
Crystal system: cubic

Cell and atoms, written as POSCAR:
```
LiLaRh4
1.0
0.000 3.702 3.702
3.702 0.000 3.702
3.702 3.702 0.000
Li La Rh
1 1 4
direct
0.000 0.000 0.000 Li
0.750 0.750 0.750 La
0.374 0.374 0.374 Rh
0.374 0.374 0.877 Rh
0.374 0.877 0.374 Rh
0.877 0.374 0.374 Rh
```

***

(3)
Material: HgOs3N
Method: DFT, GGA-PBEsol
State: optimized geometry

Output
Uncorrected formation energy in eV/atom: 0.869
Size of the total moment in μB per formula unit: 0.00
Crystal system: cubic

Cell and atoms, written as POSCAR:
```
HgOs3N
1.0
4.091 0.000 0.000
0.000 4.091 0.000
0.000 0.000 4.091
Hg Os N
1 3 1
direct
0.000 0.000 0.000 Hg
0.000 0.500 0.500 Os
0.500 0.000 0.500 Os
0.500 0.500 0.000 Os
0.500 0.500 0.500 N
```

***

(4)
Material: SrFe2Ag
Method: DFT, GGA-PBEsol
State: optimized geometry

Output
Size of the total moment in μB per formula unit: 4.95
ΔH_f (0 K) in eV/atom: 0.5122
Crystal system: monoclinic

Cell and atoms, written as POSCAR:
```
SrFe2Ag
1.0
4.147 -1.964 0.000
4.147 1.964 0.000
-1.989 0.000 5.182
Sr Fe Ag
1 2 1
direct
0.000 0.000 0.000 Sr
0.214 0.214 0.585 Fe
0.786 0.786 0.415 Fe
0.500 0.500 0.500 Ag
```

***

(5)
Material: Ag3Se2
Method: DFT, GGA-PBEsol
State: optimized geometry

Output
Uncorrected formation energy in eV/atom: 0.019
Size of the total moment in μB per formula unit: 0.00
Polymorph energy (0 for the lowest one) in meV per atom: 3.5
Crystal system: trigonal

Cell and atoms, written as POSCAR:
```
Ag3Se2
1.0
4.577 0.000 0.000
-2.288 3.964 0.000
0.000 0.000 5.553
Ag Se
3 2
direct
0.000 0.000 0.000 Ag
0.333 0.667 0.297 Ag
0.667 0.333 0.703 Ag
0.333 0.667 0.777 Se
0.667 0.333 0.223 Se
```

***

(6)
Material: CaSi3Sb
Method: DFT, GGA-PBEsol
State: optimized geometry

Output
Uncorrected formation energy in eV/atom: 0.797
Size of the total moment in μB per formula unit: 0.00
Crystal system: cubic

Cell and atoms, written as POSCAR:
```
CaSi3Sb
1.0
5.131 0.000 0.000
0.000 5.131 0.000
0.000 0.000 5.131
Ca Si Sb
1 3 1
direct
0.000 0.000 0.000 Ca
0.000 0.500 0.500 Si
0.500 0.000 0.500 Si
0.500 0.500 0.000 Si
0.500 0.500 0.500 Sb
```

***

(7)
Material: Ta2CoBr
Method: DFT, GGA-PBEsol
State: optimized geometry

Output
Uncorrected formation energy in eV/atom: 0.201
Size of the total moment in μB per formula unit: 0.00
Polymorph energy (0 for the lowest one) in meV per atom: 0.0
Crystal system: tetragonal

Cell and atoms, written as POSCAR:
```
Ta2CoBr
1.0
3.137 0.000 0.000
0.000 3.137 0.000
0.000 0.000 6.665
Ta Co Br
2 1 1
direct
0.000 0.000 0.000 Ta
0.500 0.500 0.283 Ta
0.500 0.500 0.830 Co
0.000 0.000 0.533 Br
```

***

(8)
Material: La2MnAl
Method: DFT, GGA-PBEsol
State: optimized geometry

Output
Size of the total moment in μB per formula unit: 2.92
ΔH_f (0 K) in eV/atom: 0.1165
Crystal system: tetragonal

Cell and atoms, written as POSCAR:
```
La2MnAl
1.0
-2.265 2.265 4.626
2.265 -2.265 4.626
2.265 2.265 -4.626
La Mn Al
2 1 1
direct
0.000 0.000 0.000 La
0.750 0.250 0.500 La
0.500 0.500 0.000 Mn
0.250 0.750 0.500 Al
```

***

(9)
Material: K5Ag
Method: DFT, GGA-PBEsol
State: optimized geometry

Output
Size of the total moment in μB per formula unit: 0.00
Polymorph energy (0 for the lowest one) in meV per atom: 7.6
ΔH_f (0 K) in eV/atom: 0.0860
Crystal system: monoclinic

Cell and atoms, written as POSCAR:
```
K5Ag
1.0
7.637 -2.173 0.000
7.637 2.173 0.000
-4.665 0.000 9.921
K Ag
5 1
direct
0.000 0.000 0.000 K
0.047 0.047 0.390 K
0.380 0.380 0.618 K
0.712 0.712 0.844 K
0.760 0.760 0.235 K
0.380 0.380 0.117 Ag
```

***

(10)
Material: CeSmFe4
Method: DFT, GGA-PBEsol
State: optimized geometry

Output
Size of the total moment in μB per formula unit: 5.94
ΔH_f (0 K) in eV/atom: 0.0030
Crystal system: cubic

Cell and atoms, written as POSCAR:
```
CeSmFe4
1.0
0.000 3.567 3.567
3.567 0.000 3.567
3.567 3.567 0.000
Ce Sm Fe
1 1 4
direct
0.000 0.000 0.000 Ce
0.250 0.250 0.250 Sm
0.124 0.625 0.625 Fe
0.625 0.124 0.625 Fe
0.625 0.625 0.124 Fe
0.625 0.625 0.625 Fe
```

***

(11)
Material: In2ICl
Method: DFT, GGA-PBEsol
State: optimized geometry

Output
Uncorrected formation energy in eV/atom: -0.403
Size of the total moment in μB per formula unit: 0.00
Polymorph energy (0 for the lowest one) in meV per atom: 109.7
Crystal system: tetragonal

Cell and atoms, written as POSCAR:
```
In2ICl
1.0
-3.676 3.676 7.116
3.676 -3.676 7.116
3.676 3.676 -7.116
In I Cl
4 2 2
direct
0.087 0.625 0.962 In
0.375 0.337 0.462 In
0.663 0.125 0.038 In
0.875 0.913 0.538 In
0.250 0.750 0.500 I
0.500 0.500 0.000 I
0.000 0.000 0.000 Cl
0.750 0.250 0.500 Cl
```

***

(12)
Material: Li5V4O8
Method: DFT, GGA-PBEsol
State: optimized geometry

Output
Uncorrected formation energy in eV/atom: -2.082
Size of the total moment in μB per formula unit: 5.94
Crystal system: cubic

Cell and atoms, written as POSCAR:
```
Li5V4O8
1.0
0.000 4.122 4.122
4.122 0.000 4.122
4.122 4.122 0.000
Li V O
5 4 8
direct
0.000 0.000 0.000 Li
0.433 0.856 0.856 Li
0.856 0.433 0.856 Li
0.856 0.856 0.433 Li
0.856 0.856 0.856 Li
0.375 0.375 0.375 V
0.375 0.375 0.876 V
0.375 0.876 0.375 V
0.876 0.375 0.375 V
0.128 0.128 0.128 O
0.128 0.128 0.617 O
0.128 0.617 0.128 O
0.135 0.622 0.622 O
0.617 0.128 0.128 O
0.622 0.135 0.622 O
0.622 0.622 0.135 O
0.622 0.622 0.622 O
```

***

For the records above, the corresponding D(E_F) values read 1.29; 1.22; 1.30; 0.76; 0.37; 0.62; 0.72; 1.14; 0.60; 1.26; 0.00; 0.45 states/eV/atom.
For the records above, the corresponding V values read 118.8; 101.5; 68.4; 84.4; 100.7; 135.1; 65.6; 94.9; 329.4; 90.8; 384.7; 140.0 Å³ per cell.